Crystalline MgNbCuRh at its relaxed geometry, computed with PBE.

Computed properties:
Calculated total energy (eV/atom): -5.981
Energy relative to the elements (eV per atom): -0.20
DOS at the Fermi energy (states/eV per atom): 1.35

a b c (Å): 4.4515 4.4515 4.4515
angles (deg): 60.00 60.00 60.00
Fractional positions:
1 Mg 0.0000 0.0000 0.0000
2 Nb 0.5000 0.5000 0.5000
3 Cu 0.7500 0.7500 0.7500
4 Rh 0.2500 0.2500 0.2500